(1)
VASP calculation (PBE) on an optimized crystal structure of Pr2Zn2Pt5Rh.

```
Pr2Zn2Pt5Rh
1.0
-2.8235 2.6970 0.3687
-5.9171 -6.6867 3.5982
3.1029 2.0342 8.8829
Pr Pt Zn Rh
4 10 4 2
Direct
0.0000 0.6819 0.1819
0.0000 0.8181 0.6819
0.0000 0.1819 0.3181
0.0000 0.3181 0.8181
0.5000 0.7049 0.4394
0.5000 0.7951 0.9394
0.5000 0.2049 0.0606
0.5000 0.4394 0.2951
0.5000 0.0606 0.7951
0.5000 0.9394 0.2049
0.5000 0.0000 0.5000
0.5000 0.2951 0.5606
0.5000 0.5606 0.7049
0.5000 0.5000 0.0000
0.0000 0.3826 0.1174
0.0000 0.1174 0.6174
0.0000 0.6174 0.8826
0.0000 0.8826 0.3826
0.0000 0.5000 0.5000
0.0000 0.0000 0.0000
```

Its formation energy is -651 meV per atom. As for the volume: 182 Å³/f.u. Its total energy is -5.62 eV per atom. The calculation puts the size of the total moment at 0.00 μB/f.u. As for the space group: P4/mbm, No. 127.



(2)
VASP calculation (PBE) on an optimized crystal structure of Nb2HRuW.

```
Nb2HRuW
1.0
-0.1953 1.0244 4.3262
3.7572 -2.2771 0.7088
1.8753 2.9064 -0.6035
Ru Nb W H
1 2 1 1
Direct
0.5000 0.5000 0.5000
0.5000 0.0000 0.0000
0.0000 0.5000 0.0000
0.0000 0.0000 0.5000
0.0000 0.0000 0.0000
```

As for the volume: 70 Å³/f.u. The energy above the most stable polymorph in this dataset comes out at 0.0934 eV per atom. Its total energy is -9.11 eV per atom. The calculation puts the size of the total moment at 0.00 μB/f.u. As for the space group: P4/mmm, No. 123.



(3)
VASP calculation (PBE) on an optimized crystal structure of ScAsRh.

```
ScAsRh
1.0
5.6033 0.0114 -0.0125
4.7174 3.0231 -0.0212
0.8859 0.2680 2.9998
Rh As Sc
1 1 1
Direct
0.6550 0.6550 0.3450
0.0141 0.0141 0.9859
0.3309 0.3309 0.6691
```

Its formation energy is -658 meV per atom. As for the volume: 51 Å³/f.u. Its total energy is -6.77 eV per atom. The calculation puts the size of the total moment at 0.00 μB/f.u. As for the space group: I4mm, No. 107.



(4)
VASP calculation (PBE) on an optimized crystal structure of KNaSnBr4.

```
KNaSnBr4
1.0
8.2384 0.0000 0.4872
0.0000 8.2952 0.0000
-2.6405 0.0000 8.3227
Na Br Sn K
2 8 2 2
Direct
0.6986 0.2500 0.6596
0.3014 0.7500 0.3404
0.4468 0.2500 0.3717
0.4328 0.2500 0.8089
0.9590 0.4905 0.7249
0.0410 0.9905 0.2751
0.5532 0.7500 0.6283
0.0410 0.5095 0.2751
0.9590 0.0095 0.7249
0.5672 0.7500 0.1911
0.1814 0.2500 0.5152
0.8186 0.7500 0.4848
0.1734 0.2500 0.0280
0.8266 0.7500 0.9720
```

As for the volume: 290 Å³/f.u. Its total energy is -3.09 eV per atom. The calculation puts the size of the total moment at 0.00 μB/f.u. As for the formation energy without anion corrections: -1.22 eV per atom. As for the space group: P2_1/m, No. 11.



(5)
VASP calculation (PBE) on an optimized crystal structure of Nb3FeRu2.

```
Nb3FeRu2
1.0
4.4401 0.0000 0.0188
2.2200 6.6724 0.0094
-0.0270 0.0000 6.3673
Ru Nb Fe
4 6 2
Direct
0.3352 0.3297 0.5000
0.0000 0.0000 0.0000
0.6648 0.6703 0.5000
0.0000 0.0000 0.5000
0.1709 0.6583 0.7601
0.5000 0.0000 0.7538
0.8291 0.3417 0.2399
0.5000 0.0000 0.2462
0.1709 0.6583 0.2399
0.8291 0.3417 0.7601
0.6624 0.6753 0.0000
0.3376 0.3247 0.0000
```

Its formation energy is -160 meV per atom. As for the volume: 94 Å³/f.u. Its total energy is -9.70 eV per atom. The calculation puts the size of the total moment at 1.96 μB/f.u. As for the space group: Cmmm, No. 65.



(6)
VASP calculation (PBE) on an optimized crystal structure of CdRu2WCl.

```
CdRu2WCl
1.0
-2.5136 -3.1804 -2.3565
4.6653 -2.1466 -2.0792
0.2805 -2.9276 3.6520
Cd Cl W Ru
1 1 1 2
Direct
0.0000 0.5000 0.0000
0.5000 0.5000 0.5000
0.0000 0.0000 0.0000
0.0000 0.0000 0.5000
0.5000 0.0000 0.0000
```

As for the volume: 122 Å³/f.u. Its total energy is -5.42 eV per atom. The calculation puts the size of the total moment at 1.63 μB/f.u. As for the formation energy without anion corrections: 1.43 eV per atom. As for the space group: P4/mmm, No. 123.



Please write out number 5 again, unchanged.
VASP calculation (PBE) on an optimized crystal structure of Nb3FeRu2.

```
Nb3FeRu2
1.0
4.4401 0.0000 0.0188
2.2200 6.6724 0.0094
-0.0270 0.0000 6.3673
Ru Nb Fe
4 6 2
Direct
0.3352 0.3297 0.5000
0.0000 0.0000 0.0000
0.6648 0.6703 0.5000
0.0000 0.0000 0.5000
0.1709 0.6583 0.7601
0.5000 0.0000 0.7538
0.8291 0.3417 0.2399
0.5000 0.0000 0.2462
0.1709 0.6583 0.2399
0.8291 0.3417 0.7601
0.6624 0.6753 0.0000
0.3376 0.3247 0.0000
```

Its formation energy is -160 meV per atom. As for the volume: 94 Å³/f.u. Its total energy is -9.70 eV per atom. The calculation puts the size of the total moment at 1.96 μB/f.u. As for the space group: Cmmm, No. 65.